[1]
VASP calculation (PBE) on crystalline Ga2BS at its relaxed geometry.

Cell and atoms, written as extended XYZ:
```
4
Lattice="0.0000 3.1116 3.1116 3.1116 0.0000 3.1116 3.1116 3.1116 0.0000" Properties=species:S:1:pos:R:3 pbc="T T T"
S 3.1116 3.1116 3.1116
B 0.0000 0.0000 0.0000
Ga 1.5558 1.5558 1.5558
Ga 4.6674 4.6674 4.6674
```

- DOS(E_F) (states/eV/atom) = 0.504
- uncorrected formation energy (eV per atom) = 0.85
- space group = Fm-3m (225)
- E above lowest polymorph (meV/atom) = 845.9



[2]
VASP calculation (PBE) on crystalline Ga3BS at its relaxed geometry.

Cell and atoms, written as extended XYZ:
```
5
Lattice="4.3956 0.0000 0.0000 0.0000 4.3956 0.0000 0.0000 0.0000 4.3956" Properties=species:S:1:pos:R:3 pbc="T T T"
S 2.1978 2.1978 2.1978
B 0.0000 0.0000 0.0000
Ga 0.0000 2.1978 0.0000
Ga 0.0000 0.0000 2.1978
Ga 2.1978 0.0000 0.0000
```

- DOS(E_F) (states/eV/atom) = 0.234
- uncorrected formation energy (eV per atom) = 0.19
- space group = Pm-3m (221)
- E above lowest polymorph (meV/atom) = 0.0



[3]
VASP calculation (PBE) on crystalline GaB2SbS at its relaxed geometry.

Cell and atoms, written as extended XYZ:
```
5
Lattice="3.9832 0.0000 0.0000 0.0000 5.0573 0.0000 0.0000 0.0000 3.9832" Properties=species:S:1:pos:R:3 pbc="T T T"
Sb 1.9916 2.5286 1.9916
S 0.0000 0.0000 0.0000
B 0.0000 0.0000 1.9916
B 1.9916 0.0000 0.0000
Ga 0.0000 2.5286 0.0000
```

- DOS(E_F) (states/eV/atom) = 0.434
- uncorrected formation energy (eV per atom) = 1.22
- space group = P4/mmm (123)



[4]
VASP calculation (PBE) on crystalline Ga2SiBS at its relaxed geometry.

Cell and atoms, written as extended XYZ:
```
5
Lattice="4.5024 0.0000 0.0000 0.0000 4.0149 0.0000 0.0000 0.0000 4.5024" Properties=species:S:1:pos:R:3 pbc="T T T"
S 2.2512 2.0074 2.2512
B 0.0000 0.0000 0.0000
Si 0.0000 2.0074 0.0000
Ga 0.0000 0.0000 2.2512
Ga 2.2512 0.0000 0.0000
```

- DOS(E_F) (states/eV/atom) = 0.315
- uncorrected formation energy (eV per atom) = 0.41
- space group = P4/mmm (123)



[5]
VASP calculation (PBE) on crystalline TaGaBS2 at its relaxed geometry.

Cell and atoms, written as extended XYZ:
```
5
Lattice="-2.4432 -2.6231 1.9698 2.5654 0.4858 3.8288 -2.3736 3.1089 1.1959" Properties=species:S:1:pos:R:3 pbc="T T T"
S -1.1868 1.5545 0.5980
S -1.2216 -1.3115 0.9849
B 0.0000 0.0000 0.0000
Ga -1.1257 0.4858 3.4973
Ta 1.2827 0.2429 1.9144
```

- DOS(E_F) (states/eV/atom) = 0.770
- uncorrected formation energy (eV per atom) = 0.74
- space group = P4/mmm (123)



[6]
VASP calculation (PBE) on crystalline VGaB2S at its relaxed geometry.

Cell and atoms, written as extended XYZ:
```
5
Lattice="3.8669 0.0000 0.0000 0.0000 5.1786 0.0000 0.0000 0.0000 3.8669" Properties=species:S:1:pos:R:3 pbc="T T T"
S 0.0000 2.5893 0.0000
B 0.0000 0.0000 1.9334
B 1.9334 0.0000 0.0000
Ga 0.0000 0.0000 0.0000
V 1.9334 2.5893 1.9334
```

- DOS(E_F) (states/eV/atom) = 1.336
- uncorrected formation energy (eV per atom) = 1.52
- space group = P4/mmm (123)



[7]
VASP calculation (PBE) on crystalline ZrGa2BS at its relaxed geometry.

Cell and atoms, written as extended XYZ:
```
5
Lattice="5.0997 0.0000 0.0000 0.0000 3.5675 0.0000 0.0000 0.0000 5.0997" Properties=species:S:1:pos:R:3 pbc="T T T"
S 0.0000 0.0000 0.0000
B 0.0000 1.7838 0.0000
Ga 0.0000 0.0000 2.5498
Ga 2.5498 0.0000 0.0000
Zr 2.5498 1.7838 2.5498
```

- DOS(E_F) (states/eV/atom) = 0.803
- uncorrected formation energy (eV per atom) = 0.67
- space group = P4/mmm (123)
- E above lowest polymorph (meV/atom) = 361.7



[8]
VASP calculation (PBE) on crystalline ZrGa2BS at its relaxed geometry.

Cell and atoms, written as extended XYZ:
```
5
Lattice="3.9469 0.0000 0.0000 0.0000 5.6128 0.0000 0.0000 0.0000 3.9469" Properties=species:S:1:pos:R:3 pbc="T T T"
S 0.0000 2.8064 0.0000
B 0.0000 0.0000 0.0000
Ga 0.0000 0.0000 1.9734
Ga 1.9734 0.0000 0.0000
Zr 1.9734 2.8064 1.9734
```

- DOS(E_F) (states/eV/atom) = 0.640
- uncorrected formation energy (eV per atom) = 0.31
- space group = P4/mmm (123)
- E above lowest polymorph (meV/atom) = 0.0



[9]
VASP calculation (PBE) on crystalline GaBSb2 at its relaxed geometry.

Cell and atoms, written as extended XYZ:
```
4
Lattice="-4.4793 -1.1869 1.4748 -1.6585 1.6121 4.2777 -3.4913 3.3824 0.1358" Properties=species:S:1:pos:R:3 pbc="T T T"
Sb -2.4073 0.9519 1.4721
Sb -7.2218 2.8557 4.4162
B 0.0000 0.0000 0.0000
Ga -4.8145 1.9038 2.9442
```

- DOS(E_F) (states/eV/atom) = 0.919
- uncorrected formation energy (eV per atom) = 0.94
- space group = Fm-3m (225)
- E above lowest polymorph (meV/atom) = 759.0



[10]
VASP calculation (PBE) on crystalline Ga2BSb at its relaxed geometry.

Cell and atoms, written as extended XYZ:
```
4
Lattice="0.0000 3.3534 3.3534 3.3534 0.0000 3.3534 3.3534 3.3534 0.0000" Properties=species:S:1:pos:R:3 pbc="T T T"
Sb 3.3534 3.3534 3.3534
B 0.0000 0.0000 0.0000
Ga 1.6767 1.6767 1.6767
Ga 5.0301 5.0301 5.0301
```

- DOS(E_F) (states/eV/atom) = 0.543
- uncorrected formation energy (eV per atom) = 0.91
- space group = Fm-3m (225)
- E above lowest polymorph (meV/atom) = 556.2



[11]
VASP calculation (PBE) on crystalline Ga2BSb at its relaxed geometry.

Cell and atoms, written as extended XYZ:
```
8
Lattice="-1.9296 -3.1864 4.1576 -1.1761 -4.0541 -3.6529 3.3490 -5.6740 0.9534" Properties=species:S:1:pos:R:3 pbc="T T T"
Sb 0.0000 0.0000 0.0000
Sb -0.0667 -6.2403 2.6817
B -1.5529 -3.6203 0.2523
B 0.3100 -6.6741 -1.2236
Ga -0.3142 -3.5840 1.9460
Ga -0.3406 -4.6834 -1.0908
Ga 1.2242 -7.3941 0.5227
Ga -0.0829 -10.1675 1.5382
```

- DOS(E_F) (states/eV/atom) = 0.478
- uncorrected formation energy (eV per atom) = 0.36
- space group = I-42d (122)
- E above lowest polymorph (meV/atom) = 0.0



[12]
VASP calculation (PBE) on crystalline GaB3Sb at its relaxed geometry.

Cell and atoms, written as extended XYZ:
```
5
Lattice="-3.4076 -2.0520 2.1527 -1.3209 -1.8889 -3.8916 2.6646 -3.5606 0.8238" Properties=species:S:1:pos:R:3 pbc="T T T"
Sb 0.0000 0.0000 0.0000
B -0.6605 -0.9445 -1.9458
B 1.3323 -1.7803 0.4119
B -1.7038 -1.0260 1.0763
Ga -1.0320 -3.7508 -0.4575
```

- DOS(E_F) (states/eV/atom) = 0.647
- uncorrected formation energy (eV per atom) = 2.09
- space group = Pm-3m (221)
- E above lowest polymorph (meV/atom) = 327.0